# MgNbAu (PBE-GGA, optimized geometry)
data_MgNbAu
_chemical_formula_sum 'Mg2 Nb2 Au2'
_space_group_name_H-M_alt 'P -1'
_space_group_IT_number 2
_cell_length_a 3.0435
_cell_length_b 5.2415
_cell_length_c 7.6178
_cell_angle_alpha 106.63
_cell_angle_beta 91.31
_cell_angle_gamma 106.09
loop_
_space_group_symop_operation_xyz
'x,y,z'
'-x,-y,-z'
loop_
_atom_site_label
_atom_site_type_symbol
_atom_site_fract_x
_atom_site_fract_y
_atom_site_fract_z
Mg1 Mg 0.1772 0.3309 0.1219
Nb1 Nb 0.0892 0.2835 0.5274
Au1 Au 0.4592 0.9151 0.2054
# **Calculated formation energy**: -0.5 eV per formula unit
# **DFT total energy**: -30.945 eV per cell
# **Magnetic moment**: 0.00 μB per cell